No. 1
Here is an optimized crystal structure of LaTaHg2 from the Alexandria database. Energies are from PBE-GGA.

a = 11.6404 Å, b = 3.2171 Å, c = 5.4991 Å
α = 90.00°, β = 111.96°, γ = 90.00°
With the nearest neighbours (Å) after each atom.
Space group Cm (No. 8)
Symmetry-distinct sites (fractional):
La (0.0000, 0.0000, 0.0000) [2 per cell]  3 Ta 3.14-3.30, 7 Hg 3.19-3.51, 2 La 3.22
Ta (0.2513, 0.0000, 0.8576) [2 per cell]  6 Hg 2.94-3.29, 2 La 3.14, 2 Ta 3.22
Hg (0.0390, 0.5000, 0.5252) [2 per cell]  2 Ta 2.94, 4 La 3.19-3.24, 5 Hg 3.22-3.25
Hg (0.2796, 0.5000, 0.3611) [2 per cell]  4 Ta 3.11-3.29, 5 Hg 3.22-3.25

Output
- Uncorrected energy: -4.09 eV per atom
- Magnetic moment: 0.000 μB per formula unit
- Volume: 191.0 Å³/cell

=====

No. 2
Here is an optimized crystal structure of LaTaHg2 from the Alexandria database. Energies are from PBE-GGA.

a = 4.5858 Å, b = 4.5965 Å, c = 8.9682 Å
α = 90.00°, β = 90.00°, γ = 90.00°
With the nearest neighbours (Å) after each atom.
Space group Immm (No. 71)
Symmetry-distinct sites (fractional):
La (0.0000, 0.0000, 0.0000) [2 per cell]  8 Hg 3.21, 4 Ta 3.25
Ta (0.0000, 0.0000, 0.5000) [2 per cell]  8 Hg 3.20-3.21, 4 La 3.25
Hg (0.0000, 0.5000, 0.2496) [4 per cell]  4 Ta 3.20-3.21, 4 La 3.21, 4 Hg 3.25

Output
- Uncorrected energy: -4.11 eV per atom
- Magnetic moment: 0.000 μB per formula unit
- Volume: 189.0 Å³/cell

=====

No. 3
Here is an optimized crystal structure of LaTaHg2 from the Alexandria database. Energies are from PBE-GGA.

a = 3.3060 Å, b = 3.3060 Å, c = 30.9811 Å
α = 90.00°, β = 90.00°, γ = 120.00°
With the nearest neighbours (Å) after each atom.
Space group R3m (No. 160, hexagonal axes)
Symmetry-distinct sites (fractional):
La (0.0000, 0.0000, 0.0000) [3 per cell]  3 Ta 3.21, 6 La 3.31, 3 Hg 3.46
Ta (0.0000, 0.0000, 0.2500) [3 per cell]  3 Hg 2.98, 3 La 3.21, 6 Ta 3.31
Hg (0.0000, 0.0000, 0.5097) [3 per cell]  3 Ta 2.98, 9 Hg 3.20-3.31
Hg (0.0000, 0.0000, 0.7600) [3 per cell]  9 Hg 3.20-3.31, 3 La 3.46

Output
- Uncorrected energy: -4.03 eV per atom
- Magnetic moment: 0.000 μB per formula unit
- Volume: 293.3 Å³/cell

=====

No. 4
Here is an optimized crystal structure of LaTa2TcHg from the Alexandria database. Energies are from PBE-GGA.

a = 4.8286 Å, b = 4.8286 Å, c = 5.3486 Å
α = 90.00°, β = 90.00°, γ = 90.00°
With the nearest neighbours (Å) after each atom.
Space group P4/mmm (No. 123)
Symmetry-distinct sites (fractional):
La (0.0000, 0.0000, 0.0000) [1 per cell]  4 Hg 3.41, 8 Ta 3.60
Ta (0.0000, 0.5000, 0.5000) [2 per cell]  2 Tc 2.41
Tc (0.5000, 0.5000, 0.5000) [1 per cell]  4 Ta 2.41, 2 Hg 2.67
Hg (0.5000, 0.5000, 0.0000) [1 per cell]  2 Tc 2.67

Output
- Uncorrected energy: -7.24 eV per atom
- Magnetic moment: 0.000 μB per formula unit
- Volume: 124.7 Å³/cell

=====

No. 5
Here is an optimized crystal structure of LaTaTi2Hg from the Alexandria database. Energies are from PBE-GGA.

a = 5.0741 Å, b = 5.0741 Å, c = 5.2518 Å
α = 90.00°, β = 90.00°, γ = 90.00°
With the nearest neighbours (Å) after each atom.
Space group P4/mmm (No. 123)
Symmetry-distinct sites (fractional):
La (0.0000, 0.0000, 0.0000) [1 per cell]  4 Ta 3.59, 8 Ti 3.65
Ta (0.5000, 0.5000, 0.0000) [1 per cell]  2 Hg 2.63
Ti (0.0000, 0.5000, 0.5000) [2 per cell]  2 Hg 2.54
Hg (0.5000, 0.5000, 0.5000) [1 per cell]  4 Ti 2.54, 2 Ta 2.63

Output
- Uncorrected energy: -5.47 eV per atom
- Magnetic moment: 3.123 μB per formula unit
- Volume: 135.2 Å³/cell

=====

No. 6
Here is an optimized crystal structure of LaTaV2Hg from the Alexandria database. Energies are from PBE-GGA.

a = 4.8720 Å, b = 4.8720 Å, c = 5.6242 Å
α = 90.00°, β = 90.00°, γ = 90.00°
With the nearest neighbours (Å) after each atom.
Space group P4/mmm (No. 123)
Symmetry-distinct sites (fractional):
La (0.0000, 0.0000, 0.0000) [1 per cell]  2 Hg 2.81
Ta (0.5000, 0.5000, 0.0000) [1 per cell]  4 La 3.45, 8 V 3.72
V (0.0000, 0.5000, 0.5000) [2 per cell]  2 Hg 2.44
Hg (0.0000, 0.0000, 0.5000) [1 per cell]  4 V 2.44

Output
- Uncorrected energy: -5.17 eV per atom
- Magnetic moment: 2.962 μB per formula unit
- Volume: 133.5 Å³/cell

=====

No. 7
Here is an optimized crystal structure of LaTb4Hg5 from the Alexandria database. Energies are from PBE-GGA.

a = 3.7590 Å, b = 3.7590 Å, c = 18.9833 Å
α = 90.00°, β = 90.00°, γ = 90.00°
With the nearest neighbours (Å) after each atom.
Space group P4/mmm (No. 123)
Symmetry-distinct sites (fractional):
La (0.0000, 0.0000, 0.0000) [1 per cell]  8 Hg 3.41, 4 La 3.76
Tb (0.0000, 0.0000, 0.2067) [2 per cell]  8 Hg 3.20-3.24
Tb (0.0000, 0.0000, 0.4025) [2 per cell]  8 Hg 3.24-3.25
Hg (0.5000, 0.5000, 0.1129) [2 per cell]  4 Tb 3.20, 4 La 3.41
Hg (0.5000, 0.5000, 0.3043) [2 per cell]  8 Tb 3.24-3.25
Hg (0.5000, 0.5000, 0.5000) [1 per cell]  8 Tb 3.24

Output
- Uncorrected energy: -2.98 eV per atom
- Magnetic moment: 1.080 μB per formula unit
- Volume: 268.2 Å³/cell

=====

No. 8
Here is an optimized crystal structure of LaTb5Hg6 from the Alexandria database. Energies are from PBE-GGA.

a = 5.2996 Å, b = 7.5712 Å, c = 8.4265 Å
α = 90.00°, β = 108.36°, γ = 90.00°
With the nearest neighbours (Å) after each atom.
Space group P2/m (No. 10)
Symmetry-distinct sites (fractional):
La (0.0000, 0.0000, 0.0000) [1 per cell]  8 Hg 3.30-3.37
Tb (0.0000, 0.5000, 0.0000) [1 per cell]  8 Hg 3.22-3.30
Tb (0.3326, 0.0000, 0.6636) [2 per cell]  8 Hg 3.22-3.33
Tb (0.3376, 0.5000, 0.6730) [2 per cell]  8 Hg 3.19-3.22
Hg (0.1704, 0.2583, 0.3436) [4 per cell]  7 Tb 3.21-3.30, 1 La 3.37
Hg (0.5000, 0.2594, 0.0000) [2 per cell]  6 Tb 3.19-3.33, 2 La 3.30

Output
- Uncorrected energy: -2.97 eV per atom
- Magnetic moment: 1.330 μB per formula unit
- Volume: 320.9 Å³/cell